[1]
CdOs2Cl meta-GGA SCAN single point on PBEsol structure; uncorrected formation energy = 1128 meV/atom
1.0
3.541 0.000 0.000
0.000 3.541 0.000
0.000 0.000 6.067
Cl Os Cd
1 2 1
direct
0.000 0.000 0.500
0.000 0.500 0.000
0.500 0.000 0.000
0.500 0.500 0.500


[2]
NbSbI2O meta-GGA SCAN single point on PBEsol structure; uncorrected formation energy = 350 meV/atom; energy above the lowest structure with this stoichiometry = 0 meV per atom
1.0
-3.844 -0.742 0.800
1.528 -2.218 5.285
-0.538 5.390 2.417
I Sb Nb O
2 1 1 1
direct
0.000 0.000 0.500
0.000 0.500 0.000
0.000 0.000 0.000
0.500 0.500 0.500
0.500 0.000 0.000


[3]
Li2CdIn meta-GGA SCAN single point on PBEsol structure; energy of formation = -0.26 eV per atom
1.0
3.444 0.000 0.000
0.000 3.444 0.000
0.000 0.000 6.369
Li In Cd
2 1 1
direct
0.000 0.000 0.008
0.500 0.500 0.252
0.500 0.500 0.769
0.000 0.000 0.471


[4]
La2InRe meta-GGA SCAN single point on PBEsol structure; energy of formation = -0.03 eV per atom
1.0
-0.277 2.531 -2.231
-3.061 -1.131 -0.903
-3.771 5.159 6.320
In La Re
1 2 1
direct
0.500 0.500 0.500
0.000 0.000 0.798
0.000 0.000 0.202
0.500 0.500 0.000


[5]
FeCuPt2 meta-GGA SCAN single point on PBEsol structure; energy of formation = -0.25 eV per atom
1.0
2.707 0.000 0.000
0.000 4.530 -0.017
-1.353 -0.848 4.373
Cu Pt Fe
1 2 1
direct
0.502 0.489 0.004
0.997 0.975 0.994
0.751 0.273 0.503
0.250 0.763 0.499


[6]
KIr2Pt meta-GGA SCAN single point on PBEsol structure; energy above the lowest structure with this stoichiometry = 230 meV per atom; energy of formation = 0.57 eV per atom
1.0
2.628 0.000 0.000
0.000 4.136 0.000
0.000 0.000 7.153
Ir K Pt
2 1 1
direct
0.000 0.000 0.671
0.000 0.000 0.329
0.500 0.500 0.000
0.500 0.500 0.500


[7]
Cu2BiAu meta-GGA SCAN single point on PBEsol structure; energy of formation = 0.24 eV per atom
1.0
-3.346 -2.792 1.378
0.411 -2.294 3.932
-2.591 1.136 3.590
Au Bi Cu
1 1 2
direct
0.000 0.000 0.000
0.500 0.500 0.500
0.250 0.250 0.250
0.750 0.750 0.750


[8]
ZnCrCl2 meta-GGA SCAN single point on PBEsol structure; uncorrected formation energy = -229 meV/atom
1.0
-2.679 1.576 1.302
0.072 -2.863 3.613
2.796 2.900 2.243
Cr Zn Cl
1 1 2
direct
0.500 0.500 0.500
0.500 0.000 0.000
0.000 0.000 0.500
0.000 0.500 0.000


Calculated values (eV/atom) of electronic total energy for the records, taken in order: -44.410 -29.671 -17.400 -47.705 -43.676 -54.608 -44.295 -12.193.